[1]
Entry from the Alexandria database: crystalline DyEr2Tm9 at its relaxed geometry (PBE).

Cell: 11.0253 11.0253 3.4507 Å, 90.00 90.00 120.00°
Fractional positions:
Dy1 0.0000 0.0000 0.0000
Er1 0.3333 0.6667 0.0000
Er2 0.6667 0.3333 0.0000
Tm1 0.0000 0.5000 0.0000
Tm2 0.1772 0.3544 0.5000
Tm3 0.1772 0.8228 0.5000
Tm4 0.3544 0.1772 0.5000
Tm5 0.5000 0.0000 0.0000
Tm6 0.5000 0.5000 0.0000
Tm7 0.6456 0.8228 0.5000
Tm8 0.8228 0.1772 0.5000
Tm9 0.8228 0.6456 0.5000

Output
Theoretical density = 9.222 g cm⁻³
Total moment = 0.00 μB/f.u.
Electronic total energy = -53.31 eV/cell
ΔH_f (0 K) = 0.7 eV per formula unit
Energy above the most stable polymorph in this dataset = 0 meV/atom

=====

[2]
Entry from the Alexandria database: crystalline HgPAuS2 at its relaxed geometry (PBE).

Cell: 5.0319 5.0319 4.6523 Å, 90.00 90.00 90.00°
Fractional positions:
Hg1 0.0000 0.0000 0.0000
P1 0.5000 0.5000 0.0000
Au1 0.5000 0.5000 0.5000
S1 0.0000 0.5000 0.5000
S2 0.5000 0.0000 0.5000

Output
Theoretical density = 6.945 g cm⁻³
Total moment = 0.42 μB/f.u.
Electronic total energy = -12.95 eV/cell
E_form (uncorrected) = 859 meV/atom
Energy above the most stable polymorph in this dataset = 0 meV/atom

=====

[3]
Entry from the Alexandria database: crystalline Tl5In4Pb2 at its relaxed geometry (PBE).

Cell: 11.9466 11.9466 8.3397 Å, 97.48 97.48 16.32°
Fractional positions:
Tl1 0.0000 0.0000 0.0000
Tl2 0.3207 0.3207 0.5433
Tl3 0.3697 0.3697 0.9502
Tl4 0.6303 0.6303 0.0498
Tl5 0.6793 0.6793 0.4567
In1 0.0835 0.0835 0.6874
In2 0.4603 0.4603 0.6527
In3 0.5397 0.5397 0.3473
In4 0.9165 0.9165 0.3126
Pb1 0.2234 0.2234 0.8195
Pb2 0.7766 0.7766 0.1805

Output
Theoretical density = 9.494 g cm⁻³
Total moment = 0.00 μB/f.u.
Electronic total energy = -29.93 eV/cell
ΔH_f (0 K) = 0.3 eV per formula unit
Energy above the most stable polymorph in this dataset = 0 meV/atom

=====

[4]
Entry from the Alexandria database: crystalline MnRh2Pb at its relaxed geometry (PBE).

Cell: 4.6104 4.6104 5.0844 Å, 101.66 101.66 39.50°
Fractional positions:
Mn1 0.0000 0.0000 0.0000
Rh1 0.2565 0.2565 0.7750
Rh2 0.7435 0.7435 0.2250
Pb1 0.5000 0.5000 0.5000

Output
Theoretical density = 11.573 g cm⁻³
Total moment = 3.92 μB/f.u.
Electronic total energy = -27.26 eV/cell
ΔH_f (0 K) = 0.3 eV per formula unit

=====

[5]
Entry from the Alexandria database: crystalline Ba2TlBi4Au3 at its relaxed geometry (PBE).

Cell: 5.1922 5.1922 11.7319 Å, 90.00 90.00 90.00°
Fractional positions:
Ba1 0.0000 0.5000 0.2479
Ba2 0.5000 0.0000 0.7521
Tl1 0.5000 0.5000 0.0000
Bi1 0.0000 0.0000 0.5000
Bi2 0.0000 0.5000 0.8617
Bi3 0.5000 0.0000 0.1383
Bi4 0.5000 0.5000 0.5000
Au1 0.0000 0.0000 0.0000
Au2 0.0000 0.5000 0.6217
Au3 0.5000 0.0000 0.3783

Output
Theoretical density = 10.006 g cm⁻³
Total moment = 0.00 μB/f.u.
Electronic total energy = -35.98 eV/cell
ΔH_f (0 K) = -4.4 eV per formula unit

=====

[6]
Entry from the Alexandria database: crystalline TbDyPuMg at its relaxed geometry (PBE).

Cell: 5.4572 5.4572 5.4572 Å, 60.00 60.00 60.00°
Fractional positions:
Tb1 0.0000 0.0000 0.0000
Dy1 0.5000 0.5000 0.5000
Pu1 0.7500 0.7500 0.7500
Mg1 0.2500 0.2500 0.2500

Output
Theoretical density = 8.521 g cm⁻³
Total moment = 6.20 μB/f.u.
Electronic total energy = -24.57 eV/cell
ΔH_f (0 K) = 0.6 eV per formula unit

=====

[7]
Entry from the Alexandria database: crystalline Ca2CoH at its relaxed geometry (PBE).

Cell: 5.9592 5.9592 5.9592 Å, 111.95 111.95 104.63°
Fractional positions:
Ca1 0.0552 0.6250 0.9302
Ca2 0.3750 0.3052 0.4302
Ca3 0.6948 0.1250 0.0698
Ca4 0.8750 0.9448 0.5698
Co1 0.2500 0.7500 0.5000
Co2 0.5000 0.5000 0.0000
H1 0.0000 0.0000 0.0000
H2 0.7500 0.2500 0.5000

Output
Theoretical density = 2.871 g cm⁻³
Total moment = 0.45 μB/f.u.
Electronic total energy = -27.10 eV/cell
Energy above the most stable polymorph in this dataset = 0 meV/atom

=====

[8]
Entry from the Alexandria database: crystalline SbSeBr at its relaxed geometry (PBE).

Cell: 5.0154 5.0154 5.0154 Å, 60.00 60.00 60.00°
Fractional positions:
Sb1 0.0000 0.0000 0.0000
Se1 0.7500 0.7500 0.7500
Br1 0.5000 0.5000 0.5000

Output
Theoretical density = 5.224 g cm⁻³
Total moment = 0.00 μB/f.u.
Electronic total energy = -8.46 eV/cell
E_form (uncorrected) = 273 meV/atom

=====

[9]
Entry from the Alexandria database: crystalline PrPaO4 at its relaxed geometry (PBE).

Cell: 3.8701 3.8701 5.6001 Å, 90.00 90.00 90.00°
Fractional positions:
Pr1 0.0000 0.0000 0.0000
Pa1 0.5000 0.5000 0.5000
O1 0.0000 0.5000 0.2707
O2 0.0000 0.5000 0.7293
O3 0.5000 0.0000 0.2707
O4 0.5000 0.0000 0.7293

Output
Theoretical density = 8.631 g cm⁻³
Total moment = 0.00 μB/f.u.
Electronic total energy = -55.84 eV/cell
E_form (uncorrected) = -3621 meV/atom

=====

[10]
Entry from the Alexandria database: crystalline Nd2TlRu at its relaxed geometry (PBE).

Cell: 8.5794 8.5794 8.5794 Å, 27.50 27.50 27.50°
Fractional positions:
Nd1 0.0000 0.0000 0.0000
Nd2 0.2065 0.2065 0.2065
Tl1 0.4373 0.4373 0.4373
Ru1 0.6024 0.6024 0.6024

Output
Theoretical density = 8.301 g cm⁻³
Total moment = 0.00 μB/f.u.
Electronic total energy = -21.69 eV/cell
ΔH_f (0 K) = -0.5 eV per formula unit
Energy above the most stable polymorph in this dataset = 141 meV/atom

=====

[11]
Entry from the Alexandria database: crystalline Tb6Er8Sc at its relaxed geometry (PBE).

Cell: 9.2378 9.2378 6.5435 Å, 90.00 90.00 120.00°
Fractional positions:
Tb1 0.0831 0.6796 0.0973
Tb2 0.3204 0.4035 0.0973
Tb3 0.4035 0.0831 0.9027
Tb4 0.5965 0.9169 0.0973
Tb5 0.6796 0.5965 0.9027
Tb6 0.9169 0.3204 0.9027
Er1 0.0212 0.3300 0.3934
Er2 0.3088 0.9788 0.3934
Er3 0.3300 0.3088 0.6066
Er4 0.3333 0.6667 0.6702
Er5 0.6667 0.3333 0.3298
Er6 0.6700 0.6912 0.3934
Er7 0.6912 0.0212 0.6066
Er8 0.9788 0.6700 0.6066
Sc1 0.0000 0.0000 0.0000

Output
Theoretical density = 8.023 g cm⁻³
Total moment = 0.00 μB/f.u.
Electronic total energy = -66.66 eV/cell
ΔH_f (0 K) = 4.0 eV per formula unit
Energy above the most stable polymorph in this dataset = 145 meV/atom

=====

[12]
Entry from the Alexandria database: crystalline Na2Tm2UO6 at its relaxed geometry (PBE).

Cell: 5.9526 5.9526 5.9437 Å, 99.26 99.26 120.49°
Fractional positions:
Na1 0.1749 0.8251 0.0000
Na2 0.8251 0.1749 0.0000
Tm1 0.3342 0.6658 0.5000
Tm2 0.6658 0.3342 0.5000
U1 0.0000 0.0000 0.5000
O1 0.0516 0.3982 0.6980
O2 0.2565 0.2565 0.3075
O3 0.3982 0.0516 0.6980
O4 0.6018 0.9484 0.3020
O5 0.7435 0.7435 0.6925
O6 0.9484 0.6018 0.3020

Output
Theoretical density = 6.943 g cm⁻³
Total moment = 2.00 μB/f.u.
Electronic total energy = -84.32 eV/cell
E_form (uncorrected) = -2882 meV/atom

=====

[13]
Entry from the Alexandria database: crystalline K2OsCl at its relaxed geometry (PBE).

Cell: 8.7343 8.7343 8.7343 Å, 93.55 93.55 151.17°
Fractional positions:
K1 0.3750 0.1784 0.3034
K2 0.8216 0.1250 0.1966
K3 0.8750 0.0716 0.6966
K4 0.9284 0.6250 0.8034
Os1 0.2500 0.7500 0.5000
Os2 0.5000 0.5000 0.0000
Cl1 0.0000 0.0000 0.0000
Cl2 0.7500 0.2500 0.5000

Output
Theoretical density = 3.243 g cm⁻³
Total moment = 0.00 μB/f.u.
Electronic total energy = -26.48 eV/cell
E_form (uncorrected) = 507 meV/atom
Energy above the most stable polymorph in this dataset = 235 meV/atom

=====

[14]
Entry from the Alexandria database: crystalline BeSnAsRu2 at its relaxed geometry (PBE).

Cell: 4.3349 4.3349 4.2852 Å, 90.00 90.00 90.00°
Fractional positions:
Be1 0.0000 0.0000 0.0000
Sn1 0.0000 0.0000 0.5000
As1 0.5000 0.5000 0.5000
Ru1 0.0000 0.5000 0.0000
Ru2 0.5000 0.0000 0.0000

Output
Theoretical density = 8.347 g cm⁻³
Total moment = 0.00 μB/f.u.
Electronic total energy = -27.83 eV/cell
ΔH_f (0 K) = 3.1 eV per formula unit

=====

[15]
Entry from the Alexandria database: crystalline BaHgAs4 at its relaxed geometry (PBE).

Cell: 6.0238 6.0238 6.0238 Å, 60.00 60.00 60.00°
Fractional positions:
Ba1 0.0000 0.0000 0.0000
Hg1 0.7500 0.7500 0.7500
As1 0.3894 0.3894 0.3894
As2 0.3894 0.3894 0.8318
As3 0.3894 0.8318 0.3894
As4 0.8318 0.3894 0.3894

Output
Theoretical density = 6.850 g cm⁻³
Total moment = 0.00 μB/f.u.
Electronic total energy = -22.32 eV/cell
ΔH_f (0 K) = -1.5 eV per formula unit

=====

[16]
Entry from the Alexandria database: crystalline GeIrS4 at its relaxed geometry (PBE).

Cell: 6.0540 6.0540 6.1052 Å, 95.87 95.87 34.01°
Fractional positions:
Ge1 0.0000 0.0000 0.0000
Ir1 0.5000 0.5000 0.5000
S1 0.1086 0.1086 0.3591
S2 0.3864 0.3864 0.1582
S3 0.6136 0.6136 0.8418
S4 0.8914 0.8914 0.6409

Output
Theoretical density = 5.246 g cm⁻³
Total moment = 0.00 μB/f.u.
Electronic total energy = -31.73 eV/cell
E_form (uncorrected) = -290 meV/atom

=====

[17]
Entry from the Alexandria database: crystalline Li2MgIn5Pb at its relaxed geometry (PBE).

Cell: 6.8804 6.8804 9.2152 Å, 90.00 90.00 90.00°
Fractional positions:
Li1 0.1318 0.3682 0.0000
Li2 0.3682 0.8682 0.0000
Li3 0.6318 0.1318 0.0000
Li4 0.8682 0.6318 0.0000
Mg1 0.0000 0.5000 0.5000
Mg2 0.5000 0.0000 0.5000
In1 0.0000 0.0000 0.0000
In2 0.1811 0.6811 0.2401
In3 0.1811 0.6811 0.7599
In4 0.3189 0.1811 0.2401
In5 0.3189 0.1811 0.7599
In6 0.5000 0.5000 0.0000
In7 0.6811 0.8189 0.2401
In8 0.6811 0.8189 0.7599
In9 0.8189 0.3189 0.2401
In10 0.8189 0.3189 0.7599
Pb1 0.0000 0.0000 0.5000
Pb2 0.5000 0.5000 0.5000

Output
Theoretical density = 6.238 g cm⁻³
Total moment = 0.00 μB/f.u.
Electronic total energy = -46.52 eV/cell
ΔH_f (0 K) = -0.4 eV per formula unit

=====

[18]
Entry from the Alexandria database: crystalline AgPdN at its relaxed geometry (PBE).

Cell: 3.0323 4.7155 7.3959 Å, 73.09 86.28 88.59°
Fractional positions:
Ag1 0.0000 0.0000 0.0000
Ag2 0.4987 0.4659 0.0738
Pd1 0.0569 0.6191 0.7358
Pd2 0.5459 0.1405 0.6711
N1 0.2299 0.6730 0.4464
N2 0.3829 0.4582 0.4206

Output
Theoretical density = 7.509 g cm⁻³
Total moment = 0.00 μB/f.u.
Electronic total energy = -30.95 eV/cell
E_form (uncorrected) = 298 meV/atom
Energy above the most stable polymorph in this dataset = 35 meV/atom

=====

[19]
Entry from the Alexandria database: crystalline FeSbTe2As at its relaxed geometry (PBE).

Cell: 4.9856 4.9856 4.9279 Å, 90.00 90.00 90.00°
Fractional positions:
Fe1 0.0000 0.0000 0.0000
Sb1 0.0000 0.0000 0.5000
Te1 0.0000 0.5000 0.0000
Te2 0.5000 0.0000 0.0000
As1 0.5000 0.5000 0.5000

Output
Theoretical density = 6.883 g cm⁻³
Total moment = 0.00 μB/f.u.
Electronic total energy = -20.73 eV/cell
E_form (uncorrected) = 558 meV/atom
Energy above the most stable polymorph in this dataset = 0 meV/atom

=====

[20]
Entry from the Alexandria database: crystalline Dy3Ho4Er5 at its relaxed geometry (PBE).

Cell: 8.4342 8.4342 9.1719 Å, 114.68 114.68 40.30°
Fractional positions:
Dy1 0.0000 0.0000 0.0000
Dy2 0.2910 0.2910 0.7679
Dy3 0.7090 0.7090 0.2321
Ho1 0.2870 0.2870 0.1213
Ho2 0.4190 0.4190 0.5596
Ho3 0.5810 0.5810 0.4404
Ho4 0.7130 0.7130 0.8787
Er1 0.0733 0.0733 0.6994
Er2 0.1728 0.1728 0.3865
Er3 0.5000 0.5000 0.0000
Er4 0.8272 0.8272 0.6135
Er5 0.9267 0.9267 0.3006

Output
Theoretical density = 8.716 g cm⁻³
Total moment = 0.49 μB/f.u.
Electronic total energy = -51.94 eV/cell
ΔH_f (0 K) = 3.0 eV per formula unit
Energy above the most stable polymorph in this dataset = 229 meV/atom

=====

[21]
Entry from the Alexandria database: crystalline PuZnCrRu at its relaxed geometry (PBE).

Cell: 4.4941 4.4941 4.4941 Å, 60.00 60.00 60.00°
Fractional positions:
Pu1 0.0000 0.0000 0.0000
Zn1 0.5000 0.5000 0.5000
Cr1 0.7500 0.7500 0.7500
Ru1 0.2500 0.2500 0.2500

Output
Theoretical density = 11.966 g cm⁻³
Total moment = 6.26 μB/f.u.
Electronic total energy = -34.01 eV/cell
ΔH_f (0 K) = 0.5 eV per formula unit

=====

[22]
Entry from the Alexandria database: crystalline La3Pm5Pr4 at its relaxed geometry (PBE).

Cell: 8.8298 8.8298 9.5540 Å, 114.43 114.43 40.62°
Fractional positions:
La1 0.0000 0.0000 0.0000
La2 0.2937 0.2937 0.7800
La3 0.7063 0.7063 0.2200
Pm1 0.0732 0.0732 0.6978
Pm2 0.1727 0.1727 0.3936
Pm3 0.5000 0.5000 0.0000
Pm4 0.8273 0.8273 0.6064
Pm5 0.9268 0.9268 0.3022
Pr1 0.2924 0.2924 0.1266
Pr2 0.4181 0.4181 0.5609
Pr3 0.5819 0.5819 0.4391
Pr4 0.7076 0.7076 0.8734

Output
Theoretical density = 6.506 g cm⁻³
Total moment = 0.22 μB/f.u.
Electronic total energy = -55.32 eV/cell
ΔH_f (0 K) = 2.3 eV per formula unit
Energy above the most stable polymorph in this dataset = 180 meV/atom

=====

[23]
Entry from the Alexandria database: crystalline YNbSe2 at its relaxed geometry (PBE).

Cell: 9.2963 9.2963 9.2963 Å, 21.91 21.91 21.91°
Fractional positions:
Y1 0.0000 0.0000 0.0000
Nb1 0.5000 0.5000 0.5000
Se1 0.1046 0.1046 0.1046
Se2 0.8954 0.8954 0.8954

Output
Theoretical density = 5.752 g cm⁻³
Total moment = 0.00 μB/f.u.
Electronic total energy = -26.20 eV/cell
E_form (uncorrected) = -674 meV/atom
Energy above the most stable polymorph in this dataset = 298 meV/atom

=====

[24]
Entry from the Alexandria database: crystalline Ac8Tl2Cd at its relaxed geometry (PBE).

Cell: 10.7259 10.7259 7.6242 Å, 102.30 102.30 30.97°
Fractional positions:
Ac1 0.0196 0.0196 0.2663
Ac2 0.2039 0.2039 0.8144
Ac3 0.3406 0.3406 0.5256
Ac4 0.4088 0.4088 0.0371
Ac5 0.5912 0.5912 0.9629
Ac6 0.6594 0.6594 0.4744
Ac7 0.7961 0.7961 0.1856
Ac8 0.9804 0.9804 0.7337
Tl1 0.1859 0.1859 0.2468
Tl2 0.8141 0.8141 0.7532
Cd1 0.5000 0.5000 0.5000

Output
Theoretical density = 8.815 g cm⁻³
Total moment = 0.00 μB/f.u.
Electronic total energy = -39.97 eV/cell
ΔH_f (0 K) = -1.5 eV per formula unit
Energy above the most stable polymorph in this dataset = 0 meV/atom